1.
The following is a GGA-PBE calculation of a relaxed LiPm2Al4Ag3 crystal, from Alexandria via LeMat-Bulk.

Properties
- Energy relative to the elements: -0.308 eV per atom
- Raw total energy: -3.80 eV/atom

a = 4.2773 Å, b = 4.2773 Å, c = 11.3335 Å
α = 90.00°, β = 90.00°, γ = 90.00°
Space group P-4m2 (No. 115)
Unique sites:
1 Li 0.0000 0.0000 0.0000
2 Pm 0.0000 0.5000 0.7450
3 Al 0.0000 0.0000 0.5000
4 Al 0.0000 0.5000 0.1395
5 Al 0.5000 0.5000 0.5000
6 Ag 0.0000 0.5000 0.3649
7 Ag 0.5000 0.5000 0.0000

---

2.
The following is a GGA-PBE calculation of a relaxed Li2Pr2Al5Ag crystal, from Alexandria via LeMat-Bulk.

Properties
- Energy relative to the elements: -0.274 eV per atom
- Raw total energy: -3.77 eV/atom

a = 9.5162 Å, b = 9.5162 Å, c = 4.3255 Å
α = 90.00°, β = 90.00°, γ = 90.00°
Space group P4/mbm (No. 127)
Unique sites:
1 Li 0.1104 0.3896 0.0000
2 Pr 0.1840 0.6840 0.0000
3 Al 0.0000 0.5000 0.5000
4 Al 0.0546 0.2028 0.5000
5 Ag 0.0000 0.0000 0.0000

---

3.
The following is a GGA-PBE calculation of a relaxed LiPr2AlAg6 crystal, from Alexandria via LeMat-Bulk.

Properties
- Energy relative to the elements: -0.138 eV per atom
- Raw total energy: -3.37 eV/atom

a = 5.6309 Å, b = 6.8703 Å, c = 6.9192 Å
α = 69.01°, β = 66.11°, γ = 65.93°
Space group P-1 (No. 2)
Unique sites:
1 Li 0.0000 0.0000 0.0000
2 Pr 0.4907 0.2718 0.7469
3 Al 0.0000 0.5000 0.5000
4 Ag 0.0012 0.1878 0.3126
5 Ag 0.1751 0.5777 0.0714
6 Ag 0.4989 0.1879 0.3116

---

4.
The following is a GGA-PBE calculation of a relaxed LiPrAlAg crystal, from Alexandria via LeMat-Bulk.

Properties
- Energy relative to the elements: -0.285 eV per atom
- Raw total energy: -3.61 eV/atom

a = 6.9431 Å, b = 6.9431 Å, c = 6.9431 Å
α = 90.00°, β = 90.00°, γ = 90.00°
Space group F-43m (No. 216)
Unique sites:
1 Li 0.0000 0.0000 0.0000
2 Pr 0.2500 0.2500 0.7500
3 Al 0.2500 0.2500 0.2500
4 Ag 0.0000 0.0000 0.5000

---

5.
The following is a GGA-PBE calculation of a relaxed LiPr2Al3Ag4 crystal, from Alexandria via LeMat-Bulk.

Properties
- Energy relative to the elements: -0.301 eV per atom
- Raw total energy: -3.71 eV/atom

a = 4.4645 Å, b = 4.4645 Å, c = 10.6876 Å
α = 90.00°, β = 90.00°, γ = 90.00°
Space group P-4m2 (No. 115)
Unique sites:
1 Li 0.0000 0.0000 0.0000
2 Pr 0.0000 0.5000 0.7419
3 Al 0.0000 0.5000 0.3661
4 Al 0.5000 0.5000 0.0000
5 Ag 0.0000 0.0000 0.5000
6 Ag 0.0000 0.5000 0.1271
7 Ag 0.5000 0.5000 0.5000

---

6.
The following is a GGA-PBE calculation of a relaxed LiPrAl2Ag4 crystal, from Alexandria via LeMat-Bulk.

Properties
- Energy relative to the elements: -0.252 eV per atom
- Raw total energy: -3.45 eV/atom

a = 4.5458 Å, b = 4.5458 Å, c = 25.7882 Å
α = 90.00°, β = 90.00°, γ = 120.00°
Space group R-3m (No. 166, hexagonal axes)
Unique sites:
1 Li 0.0000 0.0000 0.0000
2 Pr 0.0000 0.0000 0.5000
3 Al 0.0000 0.0000 0.2572
4 Ag 0.0000 0.0000 0.0981
5 Ag 0.0000 0.0000 0.3669

---

Q: Look up the raw total energy of the fourth one.
A: -3.61 eV/atom

---

What did the sixth record say?
The following is a GGA-PBE calculation of a relaxed LiPrAl2Ag4 crystal, from Alexandria via LeMat-Bulk.

Properties
- Energy relative to the elements: -0.252 eV per atom
- Raw total energy: -3.45 eV/atom

a = 4.5458 Å, b = 4.5458 Å, c = 25.7882 Å
α = 90.00°, β = 90.00°, γ = 120.00°
Space group R-3m (No. 166, hexagonal axes)
Unique sites:
1 Li 0.0000 0.0000 0.0000
2 Pr 0.0000 0.0000 0.5000
3 Al 0.0000 0.0000 0.2572
4 Ag 0.0000 0.0000 0.0981
5 Ag 0.0000 0.0000 0.3669